[1]
The following is a DFT calculation (SCAN) of a crystal of EuVO4 relaxed with PBEsol.

POSCAR file:
```
EuVO4
1.0
-2.547 2.547 5.691
2.547 -2.547 5.691
2.547 2.547 -5.691
Eu V O
2 2 8
direct
0.375 0.125 0.250 Eu
0.625 0.875 0.750 Eu
0.125 0.375 0.750 V
0.875 0.625 0.250 V
0.066 0.206 0.360 O
0.205 0.566 0.360 O
0.294 0.154 0.860 O
0.346 0.705 0.140 O
0.654 0.295 0.860 O
0.706 0.846 0.140 O
0.795 0.434 0.640 O
0.934 0.794 0.640 O
```

Calculated values
Total moment, μB per formula unit: 5.99
ΔE_f (raw), eV/atom: -2.917

***

[2]
The following is a DFT calculation (SCAN) of a crystal of HgC3 relaxed with PBEsol.

POSCAR file:
```
HgC3
1.0
3.607 0.000 0.000
0.000 3.607 0.000
0.000 0.000 3.413
Hg C
1 3
direct
0.000 0.000 0.000 Hg
0.000 0.500 0.500 C
0.500 0.000 0.500 C
0.500 0.500 0.000 C
```

Calculated values
Total moment, μB per formula unit: 0.00
Offset from the most stable computed form, eV per atom: 3.232

***

[3]
The following is a DFT calculation (SCAN) of a crystal of Mg2In5 relaxed with PBEsol.

POSCAR file:
```
Mg2In5
1.0
-4.715 4.715 3.925
4.715 -4.715 3.925
4.715 4.715 -3.925
Mg In
4 10
direct
0.204 0.204 0.408 Mg
0.204 0.796 0.000 Mg
0.796 0.204 0.000 Mg
0.796 0.796 0.592 Mg
0.023 0.316 0.707 In
0.191 0.191 0.000 In
0.316 0.023 0.707 In
0.316 0.608 0.293 In
0.392 0.684 0.707 In
0.608 0.316 0.293 In
0.684 0.392 0.707 In
0.684 0.977 0.293 In
0.809 0.809 0.000 In
0.977 0.684 0.293 In
```

Calculated values
Total moment, μB per formula unit: 0.00
Electronic total energy, eV per atom: -25.38

***

[4]
The following is a DFT calculation (SCAN) of a crystal of MoRu relaxed with PBEsol.

POSCAR file:
```
MoRu
1.0
2.733 0.000 0.000
-1.367 2.367 0.000
0.000 0.000 4.406
Mo Ru
1 1
direct
0.000 0.000 0.000 Mo
0.333 0.667 0.500 Ru
```

Calculated values
Total moment, μB per formula unit: 0.00
Electronic total energy, eV per atom: -34.75

***

[5]
The following is a DFT calculation (SCAN) of a crystal of Ni2AgCl relaxed with PBEsol.

POSCAR file:
```
Ni2AgCl
1.0
-1.415 2.117 5.080
1.415 -2.117 5.080
1.415 2.117 -5.080
Ni Ag Cl
2 1 1
direct
0.000 0.000 0.000 Ni
0.808 0.308 0.500 Ni
0.362 0.862 0.500 Ag
0.636 0.636 0.000 Cl
```

Calculated values
Total moment, μB per formula unit: 1.54
ΔE_f (raw), eV/atom: 0.334

***

[6]
The following is a DFT calculation (SCAN) of a crystal of Ba2AgPd2 relaxed with PBEsol.

POSCAR file:
```
Ba2AgPd2
1.0
-1.945 1.945 9.102
1.945 -1.945 9.102
1.945 1.945 -9.102
Ba Ag Pd
2 1 2
direct
0.117 0.117 0.000 Ba
0.883 0.883 0.000 Ba
0.500 0.500 0.000 Ag
0.250 0.750 0.500 Pd
0.750 0.250 0.500 Pd
```

Calculated values
Total moment, μB per formula unit: 0.00
Offset from the most stable computed form, eV per atom: 0.111

***

[7]
The following is a DFT calculation (SCAN) of a crystal of CdInHg2 relaxed with PBEsol.

POSCAR file:
```
CdInHg2
1.0
1.708 0.986 9.054
-1.708 0.986 9.054
0.000 -1.973 9.054
Cd In Hg
1 1 2
direct
0.000 0.000 0.000 Cd
0.500 0.500 0.500 In
0.252 0.252 0.252 Hg
0.748 0.748 0.748 Hg
```

Calculated values
Total moment, μB per formula unit: 0.00
Electronic total energy, eV per atom: -50.04

***

[8]
The following is a DFT calculation (SCAN) of a crystal of TaFeCo2 relaxed with PBEsol.

POSCAR file:
```
TaFeCo2
1.0
0.000 2.914 2.914
2.914 0.000 2.914
2.914 2.914 0.000
Ta Fe Co
1 1 2
direct
0.000 0.000 0.000 Ta
0.500 0.500 0.500 Fe
0.250 0.250 0.250 Co
0.750 0.750 0.750 Co
```

Calculated values
Total moment, μB per formula unit: 6.21
Offset from the most stable computed form, eV per atom: 0.000

***

Please write out number 1 again, unchanged.
The following is a DFT calculation (SCAN) of a crystal of EuVO4 relaxed with PBEsol.

POSCAR file:
```
EuVO4
1.0
-2.547 2.547 5.691
2.547 -2.547 5.691
2.547 2.547 -5.691
Eu V O
2 2 8
direct
0.375 0.125 0.250 Eu
0.625 0.875 0.750 Eu
0.125 0.375 0.750 V
0.875 0.625 0.250 V
0.066 0.206 0.360 O
0.205 0.566 0.360 O
0.294 0.154 0.860 O
0.346 0.705 0.140 O
0.654 0.295 0.860 O
0.706 0.846 0.140 O
0.795 0.434 0.640 O
0.934 0.794 0.640 O
```

Calculated values
Total moment, μB per formula unit: 5.99
ΔE_f (raw), eV/atom: -2.917